DFT (PBE) results for an optimized crystal structure of Ba6P2SeN.

Cell: 7.529 8.415 11.271 Å, 90.00 91.71 90.00°
Element x y z (fractional)
Ba (0.295, 0.670, 0.076)
Ba (0.795, 0.830, 0.576)
Ba (0.705, 0.330, 0.924)
Ba (0.205, 0.170, 0.424)
Ba (0.339, 0.707, 0.431)
Ba (0.839, 0.793, 0.931)
Ba (0.661, 0.293, 0.569)
Ba (0.161, 0.207, 0.069)
Ba (0.857, 0.551, 0.230)
Ba (0.357, 0.949, 0.730)
Ba (0.143, 0.449, 0.770)
Ba (0.643, 0.051, 0.270)
P (0.046, 0.901, 0.242)
P (0.546, 0.599, 0.742)
P (0.954, 0.099, 0.758)
P (0.454, 0.401, 0.258)
Se (0.500, 0.000, 0.000)
Se (0.000, 0.500, 0.500)
N (0.500, 0.000, 0.500)
N (0.000, 0.500, 0.000)

---

DFT (PBE) results for an optimized crystal structure of BaPSe2N.

Cell: 6.381 6.381 5.296 Å, 90.00 90.00 90.00°
Element x y z (fractional)
P (0.500, 0.500, 0.500)
Ba (0.000, 0.000, 0.000)
Se (0.000, 0.500, 0.000)
Se (0.500, 0.000, 0.000)
N (0.000, 0.000, 0.500)

Excess energy over the best structure of this formula in the dataset = 1576 meV/atom

---

DFT (PBE) results for an optimized crystal structure of BaPSe2N.

Cell: 5.601 5.601 3.444 Å, 90.00 90.00 90.00°
Element x y z (fractional)
Ba (0.500, 0.500, 0.500)
P (0.000, 0.000, 0.000)
Se (0.500, 0.000, 0.000)
Se (0.000, 0.500, 0.000)
N (0.000, 0.000, 0.500)

Excess energy over the best structure of this formula in the dataset = 0 meV/atom

---

DFT (PBE) results for an optimized crystal structure of BaPSeN2.

Cell: 4.216 4.216 4.870 Å, 90.00 90.00 90.00°
Element x y z (fractional)
P (0.000, 0.000, 0.000)
Ba (0.500, 0.500, 0.500)
Se (0.000, 0.000, 0.500)
N (0.000, 0.500, 0.000)
N (0.500, 0.000, 0.000)

Excess energy over the best structure of this formula in the dataset = 0 meV/atom

---

DFT (PBE) results for an optimized crystal structure of BaSiP2N6.

Cell: 5.463 7.313 7.313 Å, 99.62 77.51 77.51°
Element x y z (fractional)
Ba (0.250, 0.863, 0.137)
Ba (0.750, 0.137, 0.863)
Si (0.250, 0.278, 0.722)
Si (0.750, 0.722, 0.278)
P (0.370, 0.808, 0.651)
P (0.130, 0.349, 0.192)
P (0.630, 0.192, 0.349)
P (0.870, 0.651, 0.808)
N (0.260, 0.038, 0.682)
N (0.240, 0.318, 0.962)
N (0.740, 0.962, 0.318)
N (0.760, 0.682, 0.038)
N (0.466, 0.712, 0.425)
N (0.034, 0.575, 0.288)
N (0.534, 0.288, 0.575)
N (0.966, 0.425, 0.712)
N (0.115, 0.754, 0.773)
N (0.385, 0.227, 0.246)
N (0.885, 0.246, 0.227)
N (0.615, 0.773, 0.754)

---

DFT (PBE) results for an optimized crystal structure of BaSm2P2N6.

Cell: 6.618 6.009 6.083 Å, 110.74 79.89 67.31°
Element x y z (fractional)
Ba (0.500, 0.000, 0.500)
Sm (0.828, 0.374, 0.794)
Sm (0.172, 0.626, 0.206)
P (0.223, 0.705, 0.753)
P (0.777, 0.295, 0.247)
N (0.432, 0.675, 0.857)
N (0.890, 0.479, 0.222)
N (0.129, 0.905, 0.637)
N (0.110, 0.521, 0.778)
N (0.871, 0.095, 0.363)
N (0.568, 0.325, 0.143)

---

Quick rundown of calculated total energy, same order as above: -43.71; -15.77; -23.65; -24.71; -72.17; -82.16 eV/f.u.
Quick rundown of ΔE_f (raw), same order as above: -955; 1371; -205; 551; -406; -911 meV/atom